[1]
A plane-wave DFT calculation with GGA-PBE was carried out for NiSn2Sb4 after structural relaxation.

a = 4.8633 Å, b = 4.8633 Å, c = 16.5726 Å
α = 90.00°, β = 90.00°, γ = 90.00°
Last column: nearest neighbours and their distance in Å.
Space group I4/mmm (No. 139)
One atom of each set of equivalent atoms:
Ni (0.0000, 0.0000, 0.0000)  6 Sb 2.43-2.66
Sn (0.0000, 0.0000, 0.3468)  5 Sb 3.09-3.44
Sb (0.0000, 0.0000, 0.1604)  1 Ni 2.66
Sb (0.0000, 0.5000, 0.0000)  2 Ni 2.43

## Properties
E_tot: -28.6 eV/f.u.
ρ: 6.64 g/cm3
Fermi-level density of states: 11.2 states/eV/cell

---

[2]
A plane-wave DFT calculation with GGA-PBE was carried out for Sr2TlRuO5 after structural relaxation.

a = 7.2296 Å, b = 7.2296 Å, c = 5.7882 Å
α = 90.00°, β = 90.00°, γ = 90.00°
Last column: nearest neighbours and their distance in Å.
Space group P4/mbm (No. 127)
One atom of each set of equivalent atoms:
Sr (0.1815, 0.3185, 0.0000)  8 O 2.50-2.74
Tl (0.0000, 0.0000, 0.5000)  10 O 2.89-3.15
Ru (0.0000, 0.5000, 0.5000)  4 O 1.87
O (0.0000, 0.0000, 0.0000)  4 Sr 2.65, 2 Tl 2.89
O (0.1269, 0.6269, 0.2680)  1 Ru 1.87

## Properties
E_tot: -54.1 eV/f.u.
ρ: 6.15 g/cm3
Fermi-level density of states: 13.2 states/eV/cell

---

[3]
A plane-wave DFT calculation with GGA-PBE was carried out for Pu2SiOs3 after structural relaxation.

a = 5.5221 Å, b = 5.5221 Å, c = 7.8454 Å
α = 90.00°, β = 90.00°, γ = 120.00°
Last column: nearest neighbours and their distance in Å.
Space group P6_3/mmc (No. 194)
One atom of each set of equivalent atoms:
Pu (0.3333, 0.6667, 0.0708)  1 Pu 2.81, 9 Os 2.96-3.10
Si (0.0000, 0.0000, 0.0000)  6 Os 2.55
Os (0.1699, 0.3397, 0.7500)  2 Si 2.55, 4 Os 2.71-2.81

## Properties
E_tot: -69.4 eV/f.u.
ρ: 17.42 g/cm3
Fermi-level density of states: 28.3 states/eV/cell

---

[4]
A plane-wave DFT calculation with GGA-PBE was carried out for PmNi2Ge after structural relaxation.

a = 3.8738 Å, b = 3.8738 Å, c = 9.3586 Å
α = 90.00°, β = 90.00°, γ = 90.00°
Last column: nearest neighbours and their distance in Å.
Space group P4/nmm (No. 129, origin choice 2)
One atom of each set of equivalent atoms:
Pm (0.2500, 0.2500, 0.2123)  5 Ni 2.84-2.96, 4 Ge 3.04
Ni (0.2500, 0.2500, 0.9085)  1 Ge 2.44
Ni (0.2500, 0.7500, 0.5000)  4 Ge 2.38
Ge (0.2500, 0.2500, 0.6473)  5 Ni 2.38-2.44

## Properties
ρ: 7.92 g/cm3
Energy of formation from the pure elements: -1.76 eV/f.u.
Fermi-level density of states: 6.6 states/eV/cell

---

[5]
A plane-wave DFT calculation with GGA-PBE was carried out for LaCeTeSe2 after structural relaxation.

a = 4.7016 Å, b = 4.7016 Å, c = 14.5065 Å
α = 90.00°, β = 90.00°, γ = 90.00°
Last column: nearest neighbours and their distance in Å.
Space group I4mm (No. 107)
One atom of each set of equivalent atoms:
La (0.0000, 0.0000, 0.0000)  4 Se 2.92
Ce (0.0000, 0.0000, 0.2678)  4 Se 2.86
Te (0.0000, 0.0000, 0.6320)  4 La 3.84, 4 Ce 3.87
Se (0.0000, 0.5000, 0.3804)  2 Ce 2.86, 2 La 2.92

## Properties
E_tot: -28.4 eV/f.u.
ρ: 5.85 g/cm3
Fermi-level density of states: 11.1 states/eV/cell

---

[6]
A plane-wave DFT calculation with GGA-PBE was carried out for La3PuPt8 after structural relaxation.

a = 5.5311 Å, b = 5.5311 Å, c = 27.1305 Å
α = 90.00°, β = 90.00°, γ = 120.00°
Last column: nearest neighbours and their distance in Å.
Space group R3m (No. 160, hexagonal axes)
One atom of each set of equivalent atoms:
La (0.0000, 0.0000, 0.0000)  12 Pt 3.23-3.27, 4 La 3.42-3.43
La (0.0000, 0.0000, 0.1263)  12 Pt 3.19-3.27, 3 Pu 3.36, 1 La 3.43
La (0.0000, 0.0000, 0.6212)  12 Pt 3.21-3.32, 1 Pu 3.35, 3 La 3.42
Pu (0.0000, 0.0000, 0.4977)  12 Pt 3.21-3.26, 4 La 3.35-3.36
Pt (0.0000, 0.0000, 0.3115)  6 Pt 2.77-2.78
Pt (0.0000, 0.0000, 0.8118)  6 Pt 2.75-2.77
Pt (0.0004, 0.5002, 0.0618)  6 Pt 2.76-2.77
Pt (0.0009, 0.5004, 0.5612)  6 Pt 2.75-2.78

## Properties
ρ: 15.40 g/cm3
Energy of formation from the pure elements: -12.35 eV/f.u.
Fermi-level density of states: 63.5 states/eV/cell

---

[7]
A plane-wave DFT calculation with GGA-PBE was carried out for Dy4CuSb after structural relaxation.

a = 7.1527 Å, b = 7.1726 Å, c = 7.0178 Å
α = 90.00°, β = 92.72°, γ = 90.00°
Last column: nearest neighbours and their distance in Å.
Space group P2_1/c (No. 14)
One atom of each set of equivalent atoms:
Dy (0.1436, 0.1658, 0.1801)  2 Cu 2.78-2.88
Dy (0.3287, 0.6455, 0.1294)  1 Cu 2.69, 2 Sb 2.98-3.01
Cu (0.0000, 0.0000, 0.5000)  6 Dy 2.69-2.88
Sb (0.5000, 0.0000, 0.0000)  6 Dy 2.98-3.13

## Properties
E_tot: -28.0 eV/f.u.
ρ: 7.71 g/cm3
Fermi-level density of states: 15.1 states/eV/cell

---

[8]
A plane-wave DFT calculation with GGA-PBE was carried out for TmMg2Pd8 after structural relaxation.

a = 14.3414 Å, b = 4.1090 Å, c = 6.3685 Å
α = 90.00°, β = 106.43°, γ = 90.00°
Last column: nearest neighbours and their distance in Å.
Space group C2/m (No. 12)
One atom of each set of equivalent atoms:
Tm (0.0000, 0.0000, 0.0000)  12 Pd 2.81-2.92
Mg (0.2232, 0.5000, 0.6538)  10 Pd 2.69-2.90
Pd (0.0422, 0.5000, 0.7220)  9 Pd 2.74-2.94, 1 Mg 2.75, 2 Tm 2.89
Pd (0.0961, 0.0000, 0.4651)  8 Pd 2.78-2.91, 3 Mg 2.78-2.90, 1 Tm 2.89
Pd (0.1427, 0.5000, 0.1939)  3 Mg 2.79-2.83, 7 Pd 2.80-2.94, 2 Tm 2.92
Pd (0.1818, 0.0000, 0.9156)  3 Mg 2.69-2.81, 8 Pd 2.78-2.89, 1 Tm 2.81

## Properties
ρ: 9.86 g/cm3
Energy of formation from the pure elements: -6.91 eV/f.u.
Fermi-level density of states: 7.6 states/eV/cell

---

[9]
A plane-wave DFT calculation with GGA-PBE was carried out for IrPtPb2O8 after structural relaxation.

a = 4.8239 Å, b = 6.6112 Å, c = 4.9288 Å
α = 90.00°, β = 91.72°, γ = 90.00°
Last column: nearest neighbours and their distance in Å.
Space group P2/m (No. 10)
One atom of each set of equivalent atoms:
Ir (0.0000, 0.0000, 0.0000)  6 O 1.95-2.03
Pt (0.0000, 0.5000, 0.0000)  6 O 2.01-2.07
Pb (0.5000, 0.2509, 0.5000)  6 O 2.19-2.33
O (0.2096, 0.2463, 0.8688)  1 Ir 2.03, 1 Pt 2.07
O (0.2387, 0.0000, 0.3271)  1 Ir 1.95
O (0.2482, 0.5000, 0.3345)  1 Pt 2.01, 2 Pb 2.19

## Properties
E_tot: -70.2 eV/f.u.
ρ: 9.83 g/cm3
Fermi-level density of states: 3.6 states/eV/cell

---

[10]
A plane-wave DFT calculation with GGA-PBE was carried out for PmMg2Au after structural relaxation.

a = 7.0321 Å, b = 7.0321 Å, c = 7.0321 Å
α = 90.00°, β = 90.00°, γ = 90.00°
Last column: nearest neighbours and their distance in Å.
Space group Fm-3m (No. 225)
One atom of each set of equivalent atoms:
Pm (0.0000, 0.0000, 0.0000)  8 Mg 3.05
Mg (0.2500, 0.2500, 0.2500)  4 Pm 3.05, 4 Au 3.05
Au (0.0000, 0.0000, 0.5000)  8 Mg 3.05

## Properties
ρ: 7.46 g/cm3
Energy of formation from the pure elements: -1.28 eV/f.u.
Fermi-level density of states: 6.3 states/eV/cell

---

[11]
A plane-wave DFT calculation with GGA-PBE was carried out for Nd2Ga3Pd6 after structural relaxation.

a = 7.4474 Å, b = 7.4474 Å, c = 4.4006 Å
α = 90.00°, β = 90.00°, γ = 120.00°
Last column: nearest neighbours and their distance in Å.
Space group P-62m (No. 189)
One atom of each set of equivalent atoms:
Nd (0.3333, 0.6667, 0.0000)  3 Pd 3.03, 6 Ga 3.20
Ga (0.0000, 0.3837, 0.5000)  5 Pd 2.50-2.56
Pd (0.0000, 0.2142, 0.0000)  2 Ga 2.54, 2 Pd 2.76
Pd (0.0000, 0.7187, 0.5000)  3 Ga 2.50-2.56

## Properties
ρ: 8.93 g/cm3
Energy of formation from the pure elements: -7.75 eV/f.u.
Fermi-level density of states: 6.0 states/eV/cell

---

[12]
A plane-wave DFT calculation with GGA-PBE was carried out for NiSe2SBr after structural relaxation.

a = 4.9330 Å, b = 4.9330 Å, c = 4.8504 Å
α = 90.00°, β = 90.00°, γ = 90.00°
Last column: nearest neighbours and their distance in Å.
Space group P4/mmm (No. 123)
One atom of each set of equivalent atoms:
Ni (0.0000, 0.0000, 0.0000)  8 Se 3.46, 4 Br 3.49
Se (0.0000, 0.5000, 0.5000)  2 S 2.47
S (0.5000, 0.5000, 0.5000)  2 Br 2.43, 4 Se 2.47
Br (0.5000, 0.5000, 0.0000)  2 S 2.43

## Properties
E_tot: -14.0 eV/f.u.
ρ: 4.62 g/cm3
Fermi-level density of states: 6.7 states/eV/cell

---

[13]
A plane-wave DFT calculation with GGA-PBE was carried out for ZrBeBr3 after structural relaxation.

a = 4.8163 Å, b = 4.8163 Å, c = 4.8163 Å
α = 90.00°, β = 90.00°, γ = 90.00°
Last column: nearest neighbours and their distance in Å.
Space group Pm-3m (No. 221)
One atom of each set of equivalent atoms:
Zr (0.0000, 0.0000, 0.0000)  12 Br 3.41
Be (0.5000, 0.5000, 0.5000)  6 Br 2.41
Br (0.0000, 0.5000, 0.5000)  2 Be 2.41

## Properties
E_tot: -17.1 eV/f.u.
ρ: 5.05 g/cm3
Fermi-level density of states: 4.6 states/eV/cell

---

[14]
A plane-wave DFT calculation with GGA-PBE was carried out for SnBi after structural relaxation.

a = 3.1450 Å, b = 6.4184 Å, c = 6.4198 Å
α = 90.00°, β = 90.11°, γ = 90.00°
Last column: nearest neighbours and their distance in Å.
Space group P2_1/m (No. 11)
One atom of each set of equivalent atoms:
Sn (0.0007, 0.2500, 0.2505)  2 Sn 3.14, 4 Bi 3.21
Bi (0.0002, 0.2500, 0.7507)  2 Bi 3.14, 4 Sn 3.21

## Properties
ρ: 8.40 g/cm3
Energy of formation from the pure elements: 0.13 eV/f.u.
Fermi-level density of states: 2.1 states/eV/cell

---

[15]
A plane-wave DFT calculation with GGA-PBE was carried out for LaTcHg2Cl after structural relaxation.

a = 5.5523 Å, b = 5.5523 Å, c = 5.2761 Å
α = 90.00°, β = 90.00°, γ = 90.00°
Last column: nearest neighbours and their distance in Å.
Space group P4/mmm (No. 123)
One atom of each set of equivalent atoms:
La (0.0000, 0.0000, 0.0000)  2 Cl 2.64
Tc (0.5000, 0.5000, 0.0000)  8 Hg 3.83, 4 La 3.93
Hg (0.0000, 0.5000, 0.5000)  2 Cl 2.78
Cl (0.0000, 0.0000, 0.5000)  2 La 2.64, 4 Hg 2.78

## Properties
E_tot: -14.5 eV/f.u.
ρ: 6.88 g/cm3
Fermi-level density of states: 5.2 states/eV/cell

---

[16]
A plane-wave DFT calculation with GGA-PBE was carried out for ScNbIrO6 after structural relaxation.

a = 5.0912 Å, b = 5.0912 Å, c = 9.5855 Å
α = 90.00°, β = 90.00°, γ = 120.00°
Last column: nearest neighbours and their distance in Å.
Space group P-31c (No. 163)
One atom of each set of equivalent atoms:
Sc (0.0000, 0.0000, 0.0000)  6 O 2.13
Nb (0.3333, 0.6667, 0.2500)  6 O 2.03
Ir (0.3333, 0.6667, 0.7500)  6 O 2.03
O (0.9998, 0.3378, 0.1315)  1 Ir 2.03, 1 Nb 2.03, 1 Sc 2.13

## Properties
E_tot: -74.1 eV/f.u.
ρ: 6.58 g/cm3
Fermi-level density of states: 10.7 states/eV/cell

---

[17]
A plane-wave DFT calculation with GGA-PBE was carried out for Ca2WSe after structural relaxation.

a = 11.4538 Å, b = 3.2998 Å, c = 5.3580 Å
α = 90.00°, β = 109.59°, γ = 90.00°
Last column: nearest neighbours and their distance in Å.
Space group Cm (No. 8)
One atom of each set of equivalent atoms:
Ca (0.0000, 0.0000, 0.0000)  3 W 3.17-3.37, 4 Se 3.19-3.23, 4 Ca 3.30-3.42
Ca (0.1926, 0.0000, 0.6453)  3 Se 3.18-3.33, 4 W 3.22-3.30, 4 Ca 3.30-3.42
W (0.2727, 0.5000, 0.2121)  2 Se 2.54
Se (0.4407, 0.0000, 0.4528)  2 W 2.54

## Properties
E_tot: -20.3 eV/f.u.
ρ: 5.97 g/cm3
Fermi-level density of states: 7.4 states/eV/cell

---

[18]
A plane-wave DFT calculation with GGA-PBE was carried out for Pm2EuGa after structural relaxation.

a = 3.6811 Å, b = 3.6811 Å, c = 34.3941 Å
α = 90.00°, β = 90.00°, γ = 120.00°
Last column: nearest neighbours and their distance in Å.
Space group R-3m (No. 166, hexagonal axes)
One atom of each set of equivalent atoms:
Pm (0.0000, 0.0000, 0.1039)  3 Ga 3.03
Eu (0.0000, 0.0000, 0.0000)  2 Pm 3.57, 6 Eu 3.68
Ga (0.0000, 0.0000, 0.5000)  6 Pm 3.03

## Properties
ρ: 6.32 g/cm3
Energy of formation from the pure elements: -0.17 eV/f.u.
Fermi-level density of states: 15.3 states/eV/cell

---

[19]
A plane-wave DFT calculation with GGA-PBE was carried out for SrTl3Pd after structural relaxation.

a = 9.6644 Å, b = 4.8014 Å, c = 11.8739 Å
α = 90.00°, β = 90.00°, γ = 90.00°
Last column: nearest neighbours and their distance in Å.
Space group Pnma (No. 62)
One atom of each set of equivalent atoms:
Sr (0.2075, 0.2500, 0.0010)  8 Tl 3.42-3.82, 2 Pd 3.46
Tl (0.0558, 0.2500, 0.5898)  3 Pd 2.88-2.97, 1 Tl 3.13
Tl (0.1075, 0.7500, 0.8047)  2 Pd 2.78-2.81
Tl (0.1381, 0.7500, 0.1986)  2 Pd 3.02, 4 Tl 3.13-3.38
Pd (0.1107, 0.2500, 0.3517)  7 Tl 2.78-3.02

## Properties
ρ: 9.73 g/cm3
Energy of formation from the pure elements: -1.54 eV/f.u.
Fermi-level density of states: 8.9 states/eV/cell

---

[20]
A plane-wave DFT calculation with GGA-PBE was carried out for Pm3PaSe4 after structural relaxation.

a = 4.1207 Å, b = 4.1207 Å, c = 41.6565 Å
α = 90.00°, β = 90.00°, γ = 120.00°
Last column: nearest neighbours and their distance in Å.
Space group R-3m (No. 166, hexagonal axes)
One atom of each set of equivalent atoms:
Pm (0.0000, 0.0000, 0.0000)  6 Se 2.96
Pm (0.0000, 0.0000, 0.2484)  6 Se 2.94-2.97
Pa (0.0000, 0.0000, 0.5000)  6 Se 2.91
Se (0.0000, 0.0000, 0.1263)  3 Pa 2.91, 3 Pm 2.94
Se (0.0000, 0.0000, 0.3754)  6 Pm 2.96-2.97

## Properties
E_tot: -51.0 eV/f.u.
ρ: 7.98 g/cm3
Fermi-level density of states: 23.8 states/eV/cell

---

[21]
A plane-wave DFT calculation with GGA-PBE was carried out for SnHSe3 after structural relaxation.

a = 4.5488 Å, b = 4.5488 Å, c = 4.5488 Å
α = 90.00°, β = 90.00°, γ = 90.00°
Last column: nearest neighbours and their distance in Å.
Space group Pm-3m (No. 221)
One atom of each set of equivalent atoms:
Sn (0.0000, 0.0000, 0.0000)  12 Se 3.22
H (0.5000, 0.5000, 0.5000)  6 Se 2.27
Se (0.0000, 0.5000, 0.5000)  2 H 2.27

## Properties
E_tot: -15.3 eV/f.u.
ρ: 6.29 g/cm3
Fermi-level density of states: 5.0 states/eV/cell

---

[22]
A plane-wave DFT calculation with GGA-PBE was carried out for Cs2NbI2Cl4 after structural relaxation.

a = 7.9874 Å, b = 7.9874 Å, c = 10.9038 Å
α = 90.00°, β = 90.00°, γ = 90.00°
Last column: nearest neighbours and their distance in Å.
Space group I4/mmm (No. 139)
One atom of each set of equivalent atoms:
Cs (0.0000, 0.5000, 0.2500)  8 Cl 3.94, 4 I 4.00
Nb (0.0000, 0.0000, 0.0000)  4 Cl 2.43
I (0.0000, 0.0000, 0.2612)  1 Nb 2.85
Cl (0.2154, 0.2154, 0.0000)  1 Nb 2.43

## Properties
E_tot: -35.1 eV/f.u.
ρ: 3.60 g/cm3
Fermi-level density of states: 11.3 states/eV/cell

---

[23]
A plane-wave DFT calculation with GGA-PBE was carried out for Pt2PbW after structural relaxation.

a = 3.7956 Å, b = 4.2285 Å, c = 4.3884 Å
α = 90.00°, β = 90.00°, γ = 90.00°
Last column: nearest neighbours and their distance in Å.
Space group Pmmm (No. 47)
One atom of each set of equivalent atoms:
Pt (0.0000, 0.0000, 0.0000)  4 Pt 2.84, 4 W 2.90, 4 Pb 3.05
Pt (0.5000, 0.5000, 0.0000)  4 Pt 2.84, 4 Pb 2.90, 4 W 3.05
Pb (0.0000, 0.5000, 0.5000)  4 W 2.84, 8 Pt 2.90-3.05
W (0.5000, 0.0000, 0.5000)  4 Pb 2.84, 8 Pt 2.90-3.05

## Properties
ρ: 18.42 g/cm3
Energy of formation from the pure elements: 1.57 eV/f.u.
Fermi-level density of states: 3.0 states/eV/cell